# 1
This record from Alexandria describes a relaxed TlAs2H2 crystal. The functional is PBE-GGA.

abc: 7.6583 7.6583 3.0317
angles: 90.00 90.00 90.00
With the nearest neighbours (Å) after each atom.
Atoms (fractional coordinates):
Tl 0.0000 0.0000 0.0000  2 Tl 3.03, 4 As 3.10
Tl 0.5000 0.5000 0.0000  2 Tl 3.03, 4 As 3.10
As 0.1109 0.3891 0.0000  4 H 2.18, 1 As 2.40
As 0.3891 0.8891 0.0000  4 H 2.18, 1 As 2.40
As 0.6109 0.1109 0.0000  4 H 2.18, 1 As 2.40
As 0.8891 0.6109 0.0000  4 H 2.18, 1 As 2.40
H 0.0920 0.5920 0.5000  1 H 1.99, 4 As 2.18
H 0.4080 0.0920 0.5000  1 H 1.99, 4 As 2.18
H 0.5920 0.9080 0.5000  1 H 1.99, 4 As 2.18
H 0.9080 0.4080 0.5000  1 H 1.99, 4 As 2.18

**Space-group type**: P4/mbm, No. 127
**Electronic total energy**: -15.23 eV/f.u.

# 2
This record from Alexandria describes a relaxed ZrTi2TlB crystal. The functional is PBE-GGA.

abc: 4.3893 4.3893 4.6245
angles: 90.00 90.00 90.00
With the nearest neighbours (Å) after each atom.
Atoms (fractional coordinates):
Zr 0.0000 0.0000 0.0000  2 B 2.31
Ti 0.0000 0.5000 0.5000  2 B 2.19
Ti 0.5000 0.0000 0.5000  2 B 2.19
Tl 0.5000 0.5000 0.0000  4 Zr 3.10, 8 Ti 3.19
B 0.0000 0.0000 0.5000  4 Ti 2.19, 2 Zr 2.31

**Space-group type**: P4/mmm, No. 123
**ΔE_f**: -1.4 eV/f.u.
**Electronic total energy**: -34.82 eV/f.u.

# 3
This record from Alexandria describes a relaxed Na2SrIn crystal. The functional is PBE-GGA.

abc: 5.0529 5.0529 5.5129
angles: 90.00 90.00 90.00
With the nearest neighbours (Å) after each atom.
Atoms (fractional coordinates):
Na 0.0000 0.5000 0.0000  4 Na 3.57, 4 In 3.74, 4 Sr 3.74
Na 0.5000 0.0000 0.0000  4 Na 3.57, 4 In 3.74, 4 Sr 3.74
Sr 0.0000 0.0000 0.5000  4 In 3.57, 8 Na 3.74
In 0.5000 0.5000 0.5000  4 Sr 3.57, 8 Na 3.74

**Space-group type**: P4/mmm, No. 123
**ΔE_f**: -0.3 eV/f.u.
**Electronic total energy**: -7.36 eV/f.u.

# 4
This record from Alexandria describes a relaxed CsBa2Te2 crystal. The functional is PBE-GGA.

abc: 9.8750 9.8750 4.3288
angles: 90.00 90.00 90.00
With the nearest neighbours (Å) after each atom.
Atoms (fractional coordinates):
Cs 0.0000 0.0000 0.0000  4 Ba 3.84, 8 Te 4.29
Cs 0.5000 0.5000 0.0000  4 Ba 3.84, 8 Te 4.29
Ba 0.1354 0.3646 0.0000  6 Te 3.56-3.66, 1 Ba 3.78, 2 Cs 3.84
Ba 0.3646 0.8646 0.0000  6 Te 3.56-3.66, 1 Ba 3.78, 2 Cs 3.84
Ba 0.6354 0.1354 0.0000  6 Te 3.56-3.66, 1 Ba 3.78, 2 Cs 3.84
Ba 0.8646 0.6354 0.0000  6 Te 3.56-3.66, 1 Ba 3.78, 2 Cs 3.84
Te 0.1618 0.6618 0.5000  6 Ba 3.56-3.66
Te 0.3382 0.1618 0.5000  6 Ba 3.56-3.66
Te 0.6618 0.8382 0.5000  6 Ba 3.56-3.66
Te 0.8382 0.3382 0.5000  6 Ba 3.56-3.66

**Formation energy (no corrections)**: -5.81 eV per formula unit
**Space-group type**: P4/mbm, No. 127
**Electronic total energy**: -16.79 eV/f.u.

> Which of these has the lowest electronic total energy?

ZrTi2TlB

> What is the formula in the fourth record?

CsBa2Te2

> Among the records above, which one has the lowest electronic total energy?

ZrTi2TlB

> What is the formula in the third record?

Na2SrIn